No. 1
Entry from the Alexandria database: a relaxed LaDyGaSi crystal (GGA-PBE).

Lattice parameters (Å, degrees): 5.1513 5.1513 5.1513 60.00 60.00 60.00
With the nearest neighbours (Å) after each atom.
Fractional coordinates of all 4 atoms:
Si (0.2500, 0.2500, 0.2500)  4 La 3.15, 4 Dy 3.15
La (0.5000, 0.5000, 0.5000)  4 Si 3.15, 4 Ga 3.15
Ga (0.7500, 0.7500, 0.7500)  4 La 3.15, 4 Dy 3.15
Dy (0.0000, 0.0000, 0.0000)  4 Si 3.15, 4 Ga 3.15

Calculated values
**Space-group type**: F-43m
**Formation energy (no corrections)**: -2.02 eV per formula unit
**Offset from the most stable computed form**: 0.191 eV per atom

---

No. 2
Entry from the Alexandria database: a relaxed LaDyGaSi crystal (GGA-PBE).

Lattice parameters (Å, degrees): 4.4196 4.0367 6.0022 90.00 111.60 90.00
With the nearest neighbours (Å) after each atom.
Fractional coordinates of all 4 atoms:
La (0.1443, 0.0000, 0.2887)  4 Ga 3.11, 3 Si 3.13-3.30
Dy (0.8633, 0.5000, 0.7266)  4 Si 3.07, 3 Ga 3.17-3.30
Ga (0.5673, 0.5000, 0.1346)  2 Si 2.57
Si (0.4251, 0.0000, 0.8501)  2 Ga 2.57

Calculated values
**Space-group type**: Amm2
**Formation energy (no corrections)**: -2.79 eV per formula unit
**Offset from the most stable computed form**: 0.000 eV per atom

---

No. 3
Entry from the Alexandria database: a relaxed LaSmDyGa crystal (GGA-PBE).

Lattice parameters (Å, degrees): 5.4545 5.4545 5.4545 60.00 60.00 60.00
With the nearest neighbours (Å) after each atom.
Fractional coordinates of all 4 atoms:
La (0.0000, 0.0000, 0.0000)  4 Dy 3.34, 4 Ga 3.34
Ga (0.2500, 0.2500, 0.2500)  4 La 3.34, 4 Sm 3.34
Sm (0.5000, 0.5000, 0.5000)  4 Ga 3.34, 4 Dy 3.34
Dy (0.7500, 0.7500, 0.7500)  4 La 3.34, 4 Sm 3.34

Calculated values
**Space-group type**: F-43m
**Formation energy**: -107 meV per atom

---

No. 4
Entry from the Alexandria database: a relaxed LaDyGaSn crystal (GGA-PBE).

Lattice parameters (Å, degrees): 5.3511 5.3511 5.3511 60.00 60.00 60.00
With the nearest neighbours (Å) after each atom.
Fractional coordinates of all 4 atoms:
La (0.5000, 0.5000, 0.5000)  4 Sn 3.28, 4 Ga 3.28
Sn (0.2500, 0.2500, 0.2500)  4 La 3.28, 4 Dy 3.28
Ga (0.7500, 0.7500, 0.7500)  4 Dy 3.28, 4 La 3.28
Dy (0.0000, 0.0000, 0.0000)  4 Sn 3.28, 4 Ga 3.28

Calculated values
**Space-group type**: F-43m
**Formation energy**: -580 meV per atom

---

| no. | E_tot (eV per formula unit) | mass density (Mg/m³) |
| --- | --- | --- |
| 1 | -20.00 | 6.86 |
| 2 | -20.77 | 6.66 |
| 3 | -17.70 | 7.55 |
| 4 | -18.88 | 7.51 |